Computed, not measured: an optimized crystal structure of CdIr2Os at the GGA-PBE level of DFT.

Computed properties:
E_form   0.403 eV/atom
Energy   -7.063 eV per atom
Crystal system   tetragonal
N(E_F)   4.8 states/eV per cell

Unit cell a=4.836 b=4.836 c=4.836 alpha=131.50 beta=131.50 gamma=71.01
Fractional coordinates of all 4 atoms:
Cd 0.000 0.000 0.000
Ir 0.250 0.750 0.500
Ir 0.750 0.250 0.500
Os 0.500 0.500 0.000